1.
Entry from Alexandria via LeMat-Bulk: Cs2BaI6F after structural relaxation (GGA-PBE).

The structure in POSCAR format:
```
Cs2BaI6F
1.0
-4.183 4.183 7.268
4.183 -4.183 7.268
4.183 4.183 -7.268
Cs Ba I F
2 1 6 1
Cartesian
4.183 0.000 3.634 Cs
0.000 4.183 3.634 Cs
0.000 0.000 0.000 Ba
0.000 0.000 3.387 I
2.344 2.344 0.000 I
1.839 -1.839 7.268 I
-1.839 1.839 7.268 I
1.839 1.839 7.268 I
0.000 0.000 11.150 I
0.000 0.000 7.268 F
```


2.
Entry from Alexandria via LeMat-Bulk: Cs2BaI2F2 after structural relaxation (GGA-PBE).

The structure in POSCAR format:
```
Cs2BaI2F2
1.0
-2.629 2.629 10.049
2.629 -2.629 10.049
2.629 2.629 -10.049
Cs Ba I F
2 1 2 2
Cartesian
0.000 0.000 2.575 Cs
0.000 0.000 17.523 Cs
0.000 0.000 10.049 Ba
0.000 0.000 6.553 I
0.000 0.000 13.545 I
2.629 0.000 0.000 F
0.000 2.629 0.000 F
```


3.
Entry from Alexandria via LeMat-Bulk: Cs2BaIF6 after structural relaxation (GGA-PBE).

The structure in POSCAR format:
```
Cs2BaIF6
1.0
-3.406 3.406 5.979
3.406 -3.406 5.979
3.406 3.406 -5.979
Cs Ba I F
2 1 1 6
Cartesian
3.406 0.000 2.990 Cs
0.000 3.406 2.990 Cs
0.000 0.000 0.000 Ba
0.000 0.000 5.979 I
0.000 0.000 2.533 F
1.808 1.808 0.000 F
1.598 -1.598 5.979 F
-1.598 1.598 5.979 F
1.598 1.598 5.979 F
0.000 0.000 9.426 F
```


4.
Entry from Alexandria via LeMat-Bulk: CsBaIn2F after structural relaxation (GGA-PBE).

The structure in POSCAR format:
```
CsBaIn2F
1.0
6.755 0.000 0.000
0.000 6.755 0.000
0.000 0.000 5.022
Cs Ba In F
1 1 2 1
Cartesian
0.000 0.000 0.000 Cs
3.378 3.378 2.511 Ba
0.000 3.378 0.000 In
3.378 0.000 0.000 In
0.000 0.000 2.511 F
```


5.
Entry from Alexandria via LeMat-Bulk: CsBaInF6 after structural relaxation (GGA-PBE).

The structure in POSCAR format:
```
CsBaInF6
1.0
-4.091 4.298 5.527
4.091 -4.298 5.527
4.091 4.298 -5.527
Cs Ba In F
2 2 2 12
Cartesian
0.000 2.149 1.087 Cs
4.091 2.149 4.440 Cs
4.091 0.000 0.000 Ba
0.000 0.000 5.527 Ba
2.046 2.149 -2.764 In
2.046 -2.149 2.764 In
1.774 -0.685 1.311 F
6.408 -0.685 1.311 F
4.091 2.149 -2.010 F
1.774 3.612 -1.311 F
2.317 -0.685 4.216 F
4.091 2.149 1.380 F
0.000 2.149 4.147 F
1.774 4.983 1.311 F
2.317 0.685 6.838 F
0.000 2.149 7.537 F
-2.317 4.983 4.216 F
2.317 4.983 4.216 F
```


6.
Entry from Alexandria via LeMat-Bulk: Cs4K3BaF8 after structural relaxation (GGA-PBE).

The structure in POSCAR format:
```
Cs4K3BaF8
1.0
4.110 2.373 6.893
-4.110 2.373 6.893
0.000 -4.745 6.893
Cs K Ba F
4 3 1 8
Cartesian
0.000 0.000 0.000 Cs
-2.055 -1.186 6.893 Cs
-2.055 1.186 13.786 Cs
0.000 2.373 6.893 Cs
-4.110 0.000 10.340 K
-2.055 1.186 3.447 K
2.055 1.186 3.447 K
0.000 0.000 10.340 Ba
0.000 0.000 4.949 F
-1.996 -1.152 11.713 F
0.000 -2.305 8.966 F
-1.996 1.152 8.966 F
1.996 -1.152 11.713 F
0.000 2.305 11.713 F
1.996 1.152 8.966 F
0.000 0.000 15.730 F
```


What did we get for energy relative to the elements, uncorrected? Answer: -1012 -2423 -2400 -422 -3059 -2642 meV per atom, in the order shown.